VASP calculation (PBE-GGA) on crystalline Pr4Dy3Y3 at its relaxed geometry.

Cell: 3.847 9.384 9.384 Å, 89.94 90.00 90.00°
Atoms (fractional coordinates):
Pr (0.000, 0.000, 0.000)
Pr (0.000, 0.263, 0.263)
Pr (0.000, 0.497, 0.762)
Pr (0.000, 0.762, 0.497)
Dy (0.500, 0.298, 0.963)
Dy (0.500, 0.463, 0.463)
Dy (0.500, 0.963, 0.298)
Y (0.000, 0.130, 0.631)
Y (0.000, 0.631, 0.130)
Y (0.500, 0.799, 0.799)

* D(E_F): 9.0 states/eV/f.u.
* magnetic moment: 0.00 Bohr magnetons per cell
* electronic total energy: -51.3 eV/cell
* ΔE_f: 0.0976 eV per atom



VASP calculation (PBE-GGA) on crystalline Pr5Dy2Y at its relaxed geometry.

Cell: 11.715 11.715 6.554 Å, 97.58 97.58 135.98°
Atoms (fractional coordinates):
Pr (0.104, 0.323, 0.852)
Pr (0.160, 0.840, 0.750)
Pr (0.233, 0.558, 0.468)
Pr (0.323, 0.104, 0.352)
Pr (0.442, 0.767, 0.032)
Pr (0.558, 0.233, 0.968)
Pr (0.677, 0.896, 0.648)
Pr (0.767, 0.442, 0.532)
Pr (0.840, 0.160, 0.250)
Pr (0.896, 0.677, 0.148)
Dy (0.000, 0.000, 0.000)
Dy (0.000, 0.000, 0.500)
Dy (0.000, 0.500, 0.000)
Dy (0.500, 0.000, 0.500)
Y (0.499, 0.501, 0.750)
Y (0.501, 0.499, 0.250)

* distance to the lowest polymorph of the same formula: 200.8 meV/atom
* D(E_F): 14.1 states/eV/f.u.
* magnetic moment: 0.01 Bohr magnetons per cell
* electronic total energy: -74.1 eV/cell
* ΔE_f: 0.3140 eV per atom



VASP calculation (PBE-GGA) on crystalline Pr3Dy6Y2 at its relaxed geometry.

Cell: 6.753 6.753 10.497 Å, 90.02 90.02 129.60°
Atoms (fractional coordinates):
Pr (0.000, 0.000, 0.000)
Pr (0.294, 0.706, 0.000)
Pr (0.706, 0.294, 0.000)
Dy (0.149, 0.850, 0.303)
Dy (0.150, 0.851, 0.697)
Dy (0.499, 0.499, 0.211)
Dy (0.501, 0.501, 0.789)
Dy (0.850, 0.149, 0.303)
Dy (0.851, 0.150, 0.697)
Y (0.367, 0.633, 0.500)
Y (0.633, 0.367, 0.500)

* distance to the lowest polymorph of the same formula: 0.0 meV/atom
* D(E_F): 17.4 states/eV/f.u.
* magnetic moment: 0.00 Bohr magnetons per cell
* electronic total energy: -53.1 eV/cell
* ΔE_f: 0.1609 eV per atom



VASP calculation (PBE-GGA) on crystalline Pr4Dy4Y at its relaxed geometry.

Cell: 8.106 8.106 8.106 Å, 95.71 95.71 143.22°
Atoms (fractional coordinates):
Pr (0.167, 0.167, 0.335)
Pr (0.167, 0.833, 0.000)
Pr (0.833, 0.167, 0.000)
Pr (0.833, 0.833, 0.665)
Dy (0.165, 0.500, 0.665)
Dy (0.500, 0.165, 0.665)
Dy (0.500, 0.835, 0.335)
Dy (0.835, 0.500, 0.335)
Y (0.500, 0.500, 0.000)

* distance to the lowest polymorph of the same formula: 0.0 meV/atom
* D(E_F): 13.1 states/eV/f.u.
* magnetic moment: 0.00 Bohr magnetons per cell
* electronic total energy: -43.8 eV/cell
* ΔE_f: 0.0179 eV per atom



VASP calculation (PBE-GGA) on crystalline Pr3Dy5Y4 at its relaxed geometry.

Cell: 9.416 9.416 8.786 Å, 115.74 115.74 35.76°
Atoms (fractional coordinates):
Pr (0.000, 0.000, 0.000)
Pr (0.315, 0.315, 0.777)
Pr (0.685, 0.685, 0.223)
Dy (0.096, 0.096, 0.438)
Dy (0.161, 0.161, 0.890)
Dy (0.500, 0.500, 0.000)
Dy (0.839, 0.839, 0.110)
Dy (0.904, 0.904, 0.562)
Y (0.292, 0.292, 0.355)
Y (0.463, 0.463, 0.302)
Y (0.537, 0.537, 0.698)
Y (0.708, 0.708, 0.645)

* distance to the lowest polymorph of the same formula: 256.3 meV/atom
* D(E_F): 17.2 states/eV/f.u.
* magnetic moment: 0.29 Bohr magnetons per cell
* electronic total energy: -59.9 eV/cell
* ΔE_f: 0.2733 eV per atom



VASP calculation (PBE-GGA) on crystalline Pr2Dy7Y4 at its relaxed geometry.

Cell: 6.108 6.108 13.344 Å, 90.00 90.00 120.00°
Atoms (fractional coordinates):
Pr (0.333, 0.667, 0.000)
Pr (0.667, 0.333, 0.000)
Dy (0.000, 0.000, 0.000)
Dy (0.000, 0.356, 0.217)
Dy (0.000, 0.644, 0.783)
Dy (0.356, 0.000, 0.217)
Dy (0.356, 0.356, 0.783)
Dy (0.644, 0.000, 0.783)
Dy (0.644, 0.644, 0.217)
Y (0.000, 0.000, 0.395)
Y (0.000, 0.000, 0.605)
Y (0.333, 0.667, 0.500)
Y (0.667, 0.333, 0.500)

* D(E_F): 18.3 states/eV/f.u.
* magnetic moment: 0.00 Bohr magnetons per cell
* electronic total energy: -65.3 eV/cell
* ΔE_f: 0.1776 eV per atom



VASP calculation (PBE-GGA) on crystalline Pr8DyY2 at its relaxed geometry.

Cell: 9.588 9.588 6.058 Å, 105.57 105.57 122.28°
Atoms (fractional coordinates):
Pr (0.098, 0.335, 0.682)
Pr (0.205, 0.795, 0.000)
Pr (0.335, 0.098, 0.682)
Pr (0.422, 0.422, 0.203)
Pr (0.578, 0.578, 0.797)
Pr (0.665, 0.902, 0.318)
Pr (0.795, 0.205, 0.000)
Pr (0.902, 0.665, 0.318)
Dy (0.000, 0.000, 0.000)
Y (0.310, 0.690, 0.500)
Y (0.690, 0.310, 0.500)

* distance to the lowest polymorph of the same formula: 26.2 meV/atom
* D(E_F): 14.8 states/eV/f.u.
* magnetic moment: 0.00 Bohr magnetons per cell
* electronic total energy: -54.3 eV/cell
* ΔE_f: 0.1340 eV per atom



VASP calculation (PBE-GGA) on crystalline Pr3Dy6Y at its relaxed geometry.

Cell: 10.953 10.953 6.432 Å, 90.00 90.00 120.04°
Atoms (fractional coordinates):
Pr (0.113, 0.887, 0.500)
Pr (0.207, 0.436, 0.896)
Pr (0.436, 0.207, 0.396)
Pr (0.564, 0.793, 0.896)
Pr (0.793, 0.564, 0.396)
Pr (0.887, 0.113, 0.000)
Dy (0.024, 0.445, 0.296)
Dy (0.125, 0.216, 0.477)
Dy (0.216, 0.125, 0.977)
Dy (0.231, 0.769, 0.080)
Dy (0.445, 0.024, 0.796)
Dy (0.466, 0.534, 0.280)
Dy (0.534, 0.466, 0.780)
Dy (0.555, 0.976, 0.296)
Dy (0.769, 0.231, 0.580)
Dy (0.784, 0.875, 0.477)
Dy (0.875, 0.784, 0.977)
Dy (0.976, 0.555, 0.796)
Y (0.312, 0.688, 0.550)
Y (0.688, 0.312, 0.050)

* distance to the lowest polymorph of the same formula: 0.0 meV/atom
* D(E_F): 13.0 states/eV/f.u.
* magnetic moment: 0.00 Bohr magnetons per cell
* electronic total energy: -93.8 eV/cell
* ΔE_f: 0.1505 eV per atom



VASP calculation (PBE-GGA) on crystalline PrDy3Y4 at its relaxed geometry.

Cell: 11.371 7.319 6.321 Å, 90.00 90.00 90.00°
Atoms (fractional coordinates):
Pr (0.000, 0.124, 0.000)
Pr (0.500, 0.876, 0.500)
Dy (0.000, 0.875, 0.499)
Dy (0.250, 0.125, 0.331)
Dy (0.250, 0.875, 0.831)
Dy (0.500, 0.125, 0.999)
Dy (0.750, 0.125, 0.331)
Dy (0.750, 0.875, 0.831)
Y (0.000, 0.375, 0.498)
Y (0.000, 0.625, 0.997)
Y (0.248, 0.625, 0.334)
Y (0.252, 0.375, 0.834)
Y (0.500, 0.375, 0.497)
Y (0.500, 0.625, 0.998)
Y (0.748, 0.375, 0.834)
Y (0.752, 0.625, 0.334)

* distance to the lowest polymorph of the same formula: 0.0 meV/atom
* D(E_F): 14.0 states/eV/f.u.
* magnetic moment: 0.00 Bohr magnetons per cell
* electronic total energy: -88.7 eV/cell
* ΔE_f: 0.0090 eV per atom



VASP calculation (PBE-GGA) on crystalline Pr2Dy5Y12 at its relaxed geometry.

Cell: 6.347 8.722 11.940 Å, 91.35 92.74 109.00°
Atoms (fractional coordinates):
Pr (0.000, 0.000, 0.000)
Pr (0.410, 0.825, 0.959)
Dy (0.395, 0.312, 0.308)
Dy (0.687, 0.439, 0.595)
Dy (0.770, 0.892, 0.713)
Dy (0.873, 0.060, 0.281)
Dy (0.947, 0.449, 0.327)
Y (0.103, 0.252, 0.548)
Y (0.160, 0.456, 0.070)
Y (0.193, 0.665, 0.711)
Y (0.282, 0.865, 0.233)
Y (0.375, 0.113, 0.770)
Y (0.430, 0.662, 0.456)
Y (0.520, 0.056, 0.492)
Y (0.594, 0.221, 0.066)
Y (0.637, 0.541, 0.881)
Y (0.692, 0.669, 0.179)
Y (0.955, 0.292, 0.818)
Y (0.984, 0.809, 0.471)

* distance to the lowest polymorph of the same formula: 0.0 meV/atom
* D(E_F): 31.1 states/eV/f.u.
* magnetic moment: 0.00 Bohr magnetons per cell
* electronic total energy: -108.6 eV/cell
* ΔE_f: 0.0827 eV per atom



VASP calculation (PBE-GGA) on crystalline Pr6DyY5 at its relaxed geometry.

Cell: 6.328 6.328 11.925 Å, 95.06 95.06 120.00°
Atoms (fractional coordinates):
Pr (0.083, 0.416, 0.750)
Pr (0.249, 0.249, 0.250)
Pr (0.416, 0.083, 0.750)
Pr (0.584, 0.917, 0.250)
Pr (0.751, 0.751, 0.750)
Pr (0.917, 0.584, 0.250)
Dy (0.000, 0.000, 0.500)
Y (0.167, 0.833, 0.000)
Y (0.333, 0.667, 0.500)
Y (0.500, 0.500, 0.000)
Y (0.667, 0.333, 0.500)
Y (0.833, 0.167, 0.000)

* distance to the lowest polymorph of the same formula: 0.0 meV/atom
* D(E_F): 13.7 states/eV/f.u.
* magnetic moment: 0.00 Bohr magnetons per cell
* electronic total energy: -65.5 eV/cell
* ΔE_f: 0.0071 eV per atom



VASP calculation (PBE-GGA) on crystalline Pr2Dy6Y3 at its relaxed geometry.

Cell: 16.975 16.975 16.975 Å, 163.86 163.86 22.90°
Atoms (fractional coordinates):
Pr (0.046, 0.046, 0.000)
Pr (0.954, 0.954, 0.000)
Dy (0.122, 0.622, 0.500)
Dy (0.193, 0.193, 0.000)
Dy (0.378, 0.878, 0.500)
Dy (0.622, 0.122, 0.500)
Dy (0.807, 0.807, 0.000)
Dy (0.878, 0.378, 0.500)
Y (0.297, 0.297, 0.000)
Y (0.500, 0.500, 0.000)
Y (0.703, 0.703, 0.000)

* distance to the lowest polymorph of the same formula: 77.3 meV/atom
* D(E_F): 16.6 states/eV/f.u.
* magnetic moment: 0.00 Bohr magnetons per cell
* electronic total energy: -53.7 eV/cell
* ΔE_f: 0.2605 eV per atom



VASP calculation (PBE-GGA) on crystalline Pr8Dy3Y2 at its relaxed geometry.

Cell: 7.765 5.795 11.014 Å, 90.00 110.61 90.00°
Atoms (fractional coordinates):
Pr (0.099, 0.000, 0.290)
Pr (0.173, 0.500, 0.845)
Pr (0.310, 0.000, 0.711)
Pr (0.369, 0.500, 0.239)
Pr (0.631, 0.500, 0.761)
Pr (0.690, 0.000, 0.289)
Pr (0.827, 0.500, 0.155)
Pr (0.901, 0.000, 0.710)
Dy (0.215, 0.500, 0.500)
Dy (0.500, 0.000, 0.500)
Dy (0.785, 0.500, 0.500)
Y (0.261, 0.000, 0.020)
Y (0.739, 0.000, 0.980)

* D(E_F): 18.6 states/eV/f.u.
* magnetic moment: 0.00 Bohr magnetons per cell
* electronic total energy: -62.4 eV/cell
* ΔE_f: 0.1963 eV per atom



VASP calculation (PBE-GGA) on crystalline Pr2Dy4Y3 at its relaxed geometry.

Cell: 10.241 10.241 6.032 Å, 95.85 95.85 69.73°
Atoms (fractional coordinates):
Pr (0.009, 0.779, 0.720)
Pr (0.221, 0.991, 0.780)
Pr (0.779, 0.009, 0.220)
Pr (0.991, 0.221, 0.280)
Dy (0.124, 0.342, 0.871)
Dy (0.332, 0.545, 0.956)
Dy (0.342, 0.124, 0.371)
Dy (0.455, 0.668, 0.544)
Dy (0.545, 0.332, 0.456)
Dy (0.658, 0.876, 0.629)
Dy (0.668, 0.455, 0.044)
Dy (0.876, 0.658, 0.129)
Y (0.150, 0.850, 0.250)
Y (0.186, 0.486, 0.412)
Y (0.486, 0.186, 0.912)
Y (0.514, 0.814, 0.088)
Y (0.814, 0.514, 0.588)
Y (0.850, 0.150, 0.750)

* D(E_F): 13.3 states/eV/f.u.
* magnetic moment: 0.00 Bohr magnetons per cell
* electronic total energy: -93.0 eV/cell
* ΔE_f: 0.0934 eV per atom



VASP calculation (PBE-GGA) on crystalline PrDyYZn at its relaxed geometry.

Cell: 5.419 5.419 5.419 Å, 60.00 60.00 60.00°
Atoms (fractional coordinates):
Pr (0.000, 0.000, 0.000)
Dy (0.250, 0.250, 0.250)
Y (0.500, 0.500, 0.500)
Zn (0.750, 0.750, 0.750)

* distance to the lowest polymorph of the same formula: 214.2 meV/atom
* D(E_F): 5.5 states/eV/f.u.
* magnetic moment: 0.00 Bohr magnetons per cell
* electronic total energy: -16.9 eV/cell
* ΔE_f: 0.0468 eV per atom



VASP calculation (PBE-GGA) on crystalline PrDyYZn at its relaxed geometry.

Cell: 3.600 3.600 8.791 Å, 90.00 90.00 90.00°
Atoms (fractional coordinates):
Pr (0.000, 0.000, 0.000)
Dy (0.500, 0.500, 0.297)
Y (0.500, 0.500, 0.698)
Zn (0.000, 0.000, 0.497)

* distance to the lowest polymorph of the same formula: 0.0 meV/atom
* D(E_F): 4.8 states/eV/f.u.
* magnetic moment: 0.00 Bohr magnetons per cell
* electronic total energy: -17.8 eV/cell
* ΔE_f: -0.1674 eV per atom



VASP calculation (PBE-GGA) on crystalline PrDyYZr at its relaxed geometry.

Cell: 5.553 5.553 5.553 Å, 60.00 60.00 60.00°
Atoms (fractional coordinates):
Pr (0.000, 0.000, 0.000)
Dy (0.750, 0.750, 0.750)
Y (0.250, 0.250, 0.250)
Zr (0.500, 0.500, 0.500)

* D(E_F): 7.5 states/eV/f.u.
* magnetic moment: 1.43 Bohr magnetons per cell
* electronic total energy: -23.5 eV/cell
* ΔE_f: 0.2306 eV per atom



VASP calculation (PBE-GGA) on crystalline Pr2Dy2Zn3 at its relaxed geometry.

Cell: 7.843 7.843 7.843 Å, 109.47 109.47 109.47°
Atoms (fractional coordinates):
Pr (0.000, 0.346, 0.500)
Pr (0.154, 0.154, 0.154)
Pr (0.346, 0.500, 0.000)
Pr (0.500, 0.000, 0.346)
Dy (0.000, 0.862, 0.500)
Dy (0.500, 0.000, 0.862)
Dy (0.638, 0.638, 0.638)
Dy (0.862, 0.500, 0.000)
Zn (0.109, 0.750, 0.859)
Zn (0.250, 0.641, 0.391)
Zn (0.391, 0.250, 0.641)
Zn (0.641, 0.391, 0.250)
Zn (0.750, 0.859, 0.109)
Zn (0.859, 0.109, 0.750)

* D(E_F): 10.0 states/eV/f.u.
* magnetic moment: 0.00 Bohr magnetons per cell
* electronic total energy: -47.1 eV/cell
* ΔE_f: -0.1353 eV per atom



VASP calculation (PBE-GGA) on crystalline PrDy2Zn9 at its relaxed geometry.

Cell: 9.188 9.188 9.188 Å, 34.73 34.73 34.73°
Atoms (fractional coordinates):
Pr (0.000, 0.000, 0.000)
Dy (0.141, 0.141, 0.141)
Dy (0.859, 0.859, 0.859)
Zn (0.077, 0.587, 0.587)
Zn (0.335, 0.335, 0.335)
Zn (0.413, 0.413, 0.923)
Zn (0.413, 0.923, 0.413)
Zn (0.500, 0.500, 0.500)
Zn (0.587, 0.077, 0.587)
Zn (0.587, 0.587, 0.077)
Zn (0.665, 0.665, 0.665)
Zn (0.923, 0.413, 0.413)

* D(E_F): 7.5 states/eV/f.u.
* magnetic moment: 0.00 Bohr magnetons per cell
* electronic total energy: -29.3 eV/cell
* ΔE_f: -0.3190 eV per atom



VASP calculation (PBE-GGA) on crystalline Pr2DyZn2 at its relaxed geometry.

Cell: 7.737 7.737 7.737 Å, 121.81 78.37 132.41°
Atoms (fractional coordinates):
Pr (0.203, 0.160, 0.363)
Pr (0.297, 0.660, 0.957)
Pr (0.703, 0.340, 0.043)
Pr (0.797, 0.840, 0.637)
Dy (0.250, 0.750, 0.500)
Dy (0.750, 0.250, 0.500)
Zn (0.055, 0.833, 0.889)
Zn (0.445, 0.333, 0.778)
Zn (0.555, 0.667, 0.222)
Zn (0.945, 0.167, 0.111)

* distance to the lowest polymorph of the same formula: 164.3 meV/atom
* D(E_F): 6.7 states/eV/f.u.
* magnetic moment: 0.00 Bohr magnetons per cell
* electronic total energy: -33.8 eV/cell
* ΔE_f: -0.0344 eV per atom